# CoTcCl2, optimized geometry, DFT PBE-GGA
data_CoTcCl2
_cell_length_a 2.939
_cell_length_b 2.939
_cell_length_c 8.145
_cell_angle_alpha 90.00
_cell_angle_beta 90.00
_cell_angle_gamma 90.00
_symmetry_space_group_name_H-M 'P 4 m m'
_symmetry_Int_Tables_number 99
loop_
_symmetry_equiv_pos_as_xyz
'x,y,z'
'-y,x,z'
'-x,-y,z'
'y,-x,z'
'-x,y,z'
'y,x,z'
'x,-y,z'
'-y,-x,z'
loop_
_atom_site_label
_atom_site_type_symbol
_atom_site_fract_x
_atom_site_fract_y
_atom_site_fract_z
Co1 Co 0.000 0.000 0.000
Tc1 Tc 0.500 0.500 0.175
Cl1 Cl 0.000 0.000 0.378
Cl2 Cl 0.500 0.500 0.819
# - Calculated density: 5.38 Mg/m³
# - Total DFT energy (no corrections): -5.18 eV per atom
# - E_form (uncorrected): 0.4 eV per formula unit
# - Calculated volume: 17.59 A^3/atom
# - Total magnetization: 0.1 μB per formula unit
# - Energy above the most stable polymorph in this dataset: 127 meV per atom


# Ce2TmS5, optimized geometry, DFT PBE-GGA
data_Ce2TmS5
_cell_length_a 11.763
_cell_length_b 8.059
_cell_length_c 7.391
_cell_angle_alpha 90.00
_cell_angle_beta 90.00
_cell_angle_gamma 90.00
_symmetry_space_group_name_H-M 'P n m a'
_symmetry_Int_Tables_number 62
loop_
_symmetry_equiv_pos_as_xyz
'x,y,z'
'-x,-y,-z'
'-x+1/2,-y,z+1/2'
'x+1/2,y,-z+1/2'
'x+1/2,-y+1/2,-z+1/2'
'-x+1/2,y+1/2,z+1/2'
'-x,y+1/2,-z'
'x,-y+1/2,z'
loop_
_atom_site_label
_atom_site_type_symbol
_atom_site_fract_x
_atom_site_fract_y
_atom_site_fract_z
Ce1 Ce 0.179 0.000 0.018
Tm1 Tm 0.007 0.250 0.572
S1 S 0.003 0.250 0.960
S2 S 0.100 0.538 0.663
S3 S 0.186 0.250 0.329
S4 S 0.212 0.750 0.302
# - Calculated density: 5.78 Mg/m³
# - Total DFT energy (no corrections): -6.58 eV per atom
# - E_form (uncorrected): -15.7 eV per formula unit
# - Calculated volume: 21.89 A^3/atom
# - Total magnetization: 1.0 μB per formula unit


# BaTeAu, optimized geometry, DFT PBE-GGA
data_BaTeAu
_cell_length_a 7.846
_cell_length_b 7.846
_cell_length_c 7.846
_cell_angle_alpha 90.00
_cell_angle_beta 90.00
_cell_angle_gamma 90.00
_symmetry_space_group_name_H-M 'F -4 3 m'
_symmetry_Int_Tables_number 216
_symmetry_space_group_name_Hall 'F -4 2 3'
loop_
_atom_site_label
_atom_site_type_symbol
_atom_site_fract_x
_atom_site_fract_y
_atom_site_fract_z
Ba1 Ba 0.000 0.000 0.000
Te1 Te 0.250 0.250 0.250
Au1 Au 0.250 0.250 0.750
# - Calculated density: 6.35 Mg/m³
# - Total DFT energy (no corrections): -3.40 eV per atom
# - E_form (uncorrected): -1.8 eV per formula unit
# - Calculated volume: 40.24 A^3/atom
# - Total magnetization: 0.0 μB per formula unit
# - Energy above the most stable polymorph in this dataset: 290 meV per atom


# Ac4TlSi, optimized geometry, DFT PBE-GGA
data_Ac4TlSi
_cell_length_a 8.081
_cell_length_b 7.866
_cell_length_c 7.807
_cell_angle_alpha 90.00
_cell_angle_beta 90.10
_cell_angle_gamma 90.00
_symmetry_space_group_name_H-M 'P 1 21/c 1'
_symmetry_Int_Tables_number 14
loop_
_symmetry_equiv_pos_as_xyz
'x,y,z'
'-x,-y,-z'
'-x,y+1/2,-z+1/2'
'x,-y+1/2,z+1/2'
loop_
_atom_site_label
_atom_site_type_symbol
_atom_site_fract_x
_atom_site_fract_y
_atom_site_fract_z
Ac1 Ac 0.146 0.165 0.171
Ac2 Ac 0.325 0.649 0.140
Tl1 Tl 0.500 0.000 0.000
Si1 Si 0.000 0.000 0.500
# - Calculated density: 7.63 Mg/m³
# - Total DFT energy (no corrections): -4.20 eV per atom
# - E_form (uncorrected): -0.9 eV per formula unit
# - Calculated volume: 41.35 A^3/atom
# - Total magnetization: 0.0 μB per formula unit
# - Energy above the most stable polymorph in this dataset: 127 meV per atom


# CsRb2H6Os, optimized geometry, DFT PBE-GGA
data_CsRb2H6Os
_cell_length_a 8.968
_cell_length_b 8.968
_cell_length_c 8.968
_cell_angle_alpha 90.00
_cell_angle_beta 90.00
_cell_angle_gamma 90.00
_symmetry_space_group_name_H-M 'F m -3 m'
_symmetry_Int_Tables_number 225
_symmetry_space_group_name_Hall '-F 4 2 3'
loop_
_atom_site_label
_atom_site_type_symbol
_atom_site_fract_x
_atom_site_fract_y
_atom_site_fract_z
Cs1 Cs 0.000 0.000 0.000
Rb1 Rb 0.250 0.250 0.250
H1 H 0.000 0.000 0.307
Os1 Os 0.000 0.000 0.500
# - Calculated density: 4.61 Mg/m³
# - Total DFT energy (no corrections): -3.52 eV per atom
# - Calculated volume: 18.03 A^3/atom
# - Total magnetization: 1.0 μB per formula unit


# Pr5Th, optimized geometry, DFT PBE-GGA
data_Pr5Th
_cell_length_a 5.220
_cell_length_b 15.664
_cell_length_c 5.210
_cell_angle_alpha 90.00
_cell_angle_beta 90.00
_cell_angle_gamma 90.00
_symmetry_space_group_name_H-M 'C m m m'
_symmetry_Int_Tables_number 65
_symmetry_space_group_name_Hall '-C 2 2'
loop_
_atom_site_label
_atom_site_type_symbol
_atom_site_fract_x
_atom_site_fract_y
_atom_site_fract_z
Pr1 Pr 0.000 0.000 0.000
Pr2 Pr 0.000 0.163 0.500
Pr3 Pr 0.000 0.338 0.000
Th1 Th 0.000 0.500 0.500
# - Calculated density: 7.30 Mg/m³
# - Total DFT energy (no corrections): -5.17 eV per atom
# - Calculated volume: 35.50 A^3/atom
# - Calculated formation energy: 0.046 eV/atom
# - Total magnetization: 0.0 μB per formula unit
# - Energy above the most stable polymorph in this dataset: 20 meV per atom


Which of these has the highest total DFT energy (no corrections)? BaTeAu


Please write out number 6 again, unchanged.
# Pr5Th, optimized geometry, DFT PBE-GGA
data_Pr5Th
_cell_length_a 5.220
_cell_length_b 15.664
_cell_length_c 5.210
_cell_angle_alpha 90.00
_cell_angle_beta 90.00
_cell_angle_gamma 90.00
_symmetry_space_group_name_H-M 'C m m m'
_symmetry_Int_Tables_number 65
_symmetry_space_group_name_Hall '-C 2 2'
loop_
_atom_site_label
_atom_site_type_symbol
_atom_site_fract_x
_atom_site_fract_y
_atom_site_fract_z
Pr1 Pr 0.000 0.000 0.000
Pr2 Pr 0.000 0.163 0.500
Pr3 Pr 0.000 0.338 0.000
Th1 Th 0.000 0.500 0.500
# - Calculated density: 7.30 Mg/m³
# - Total DFT energy (no corrections): -5.17 eV per atom
# - Calculated volume: 35.50 A^3/atom
# - Calculated formation energy: 0.046 eV/atom
# - Total magnetization: 0.0 μB per formula unit
# - Energy above the most stable polymorph in this dataset: 20 meV per atom


The highest calculated density belongs to which entry? Ac4TlSi


Please write out number 4 again, unchanged.
# Ac4TlSi, optimized geometry, DFT PBE-GGA
data_Ac4TlSi
_cell_length_a 8.081
_cell_length_b 7.866
_cell_length_c 7.807
_cell_angle_alpha 90.00
_cell_angle_beta 90.10
_cell_angle_gamma 90.00
_symmetry_space_group_name_H-M 'P 1 21/c 1'
_symmetry_Int_Tables_number 14
loop_
_symmetry_equiv_pos_as_xyz
'x,y,z'
'-x,-y,-z'
'-x,y+1/2,-z+1/2'
'x,-y+1/2,z+1/2'
loop_
_atom_site_label
_atom_site_type_symbol
_atom_site_fract_x
_atom_site_fract_y
_atom_site_fract_z
Ac1 Ac 0.146 0.165 0.171
Ac2 Ac 0.325 0.649 0.140
Tl1 Tl 0.500 0.000 0.000
Si1 Si 0.000 0.000 0.500
# - Calculated density: 7.63 Mg/m³
# - Total DFT energy (no corrections): -4.20 eV per atom
# - E_form (uncorrected): -0.9 eV per formula unit
# - Calculated volume: 41.35 A^3/atom
# - Total magnetization: 0.0 μB per formula unit
# - Energy above the most stable polymorph in this dataset: 127 meV per atom